# 1
TlGa2Ag2: optimized geometry, PBE.

The structure in extended XYZ format:
```
5
Lattice="-2.228 2.228 5.519 2.228 -2.228 5.519 2.228 2.228 -5.519" Properties=species:S:1:pos:R:3 pbc="T T T"
Tl 0.000 0.000 0.000
Ga 0.000 0.000 4.248
Ga 0.000 0.000 6.790
Ag 2.228 0.000 2.759
Ag 0.000 2.228 2.759
```

- Crystal system: tetragonal
- N(E_F): 0.42 states/eV/atom
- V: 110 Å³/f.u.
- Energy relative to the lowest polymorph listed for this composition: 22 meV per atom
- Symmetry: No. 139

---

# 2
TlGa2Ag: optimized geometry, PBE.

The structure in extended XYZ format:
```
4
Lattice="2.241 1.294 5.558 -2.241 1.294 5.558 0.000 -2.587 5.558" Properties=species:S:1:pos:R:3 pbc="T T T"
Tl 0.000 0.000 0.000
Ga 0.000 0.000 9.259
Ga 0.000 0.000 13.264
Ag 0.000 0.000 3.050
```

- Crystal system: trigonal
- N(E_F): 0.42 states/eV/atom
- V: 97 Å³/f.u.
- Energy relative to the lowest polymorph listed for this composition: 7 meV per atom
- Symmetry: No. 160

---

# 3
Tl2GaAg2: optimized geometry, PBE.

The structure in extended XYZ format:
```
5
Lattice="-2.206 2.206 6.765 2.206 -2.206 6.765 2.206 2.206 -6.765" Properties=species:S:1:pos:R:3 pbc="T T T"
Tl 2.206 0.000 3.382
Tl 0.000 2.206 3.382
Ga 0.000 0.000 0.000
Ag 0.000 0.000 5.432
Ag 0.000 0.000 8.098
```

- Crystal system: tetragonal
- N(E_F): 0.47 states/eV/atom
- V: 132 Å³/f.u.
- Energy relative to the lowest polymorph listed for this composition: 190 meV per atom
- Symmetry: No. 139

---

# 4
TlGaAg3: optimized geometry, PBE.

The structure in extended XYZ format:
```
5
Lattice="5.002 0.000 0.000 0.000 5.002 0.000 0.000 0.000 5.002" Properties=species:S:1:pos:R:3 pbc="T T T"
Tl 0.000 0.000 0.000
Ga 2.501 2.501 2.501
Ag 0.000 2.501 2.501
Ag 2.501 0.000 2.501
Ag 2.501 2.501 0.000
```

- Crystal system: cubic
- N(E_F): 0.46 states/eV/atom
- V: 125 Å³/f.u.
- Energy relative to the lowest polymorph listed for this composition: 0 meV per atom
- Symmetry: No. 221

---

# 5
Tl2GaAg2: optimized geometry, PBE.

The structure in extended XYZ format:
```
5
Lattice="-1.942 1.942 8.231 1.942 -1.942 8.231 1.942 1.942 -8.231" Properties=species:S:1:pos:R:3 pbc="T T T"
Tl 0.000 0.000 1.702
Tl 0.000 0.000 14.760
Ga 0.000 0.000 8.231
Ag 1.942 0.000 4.115
Ag 0.000 1.942 4.115
```

- Crystal system: tetragonal
- N(E_F): 0.52 states/eV/atom
- V: 124 Å³/f.u.
- Energy relative to the lowest polymorph listed for this composition: 67 meV per atom
- Symmetry: No. 139

---

# 6
Tl2GaAg2: optimized geometry, PBE.

The structure in extended XYZ format:
```
10
Lattice="7.183 0.000 0.000 0.000 7.183 0.000 0.000 0.000 4.673" Properties=species:S:1:pos:R:3 pbc="T T T"
Tl 1.197 2.394 0.000
Tl 2.394 5.986 0.000
Tl 4.788 1.197 0.000
Tl 5.986 4.788 0.000
Ga 0.000 0.000 2.337
Ga 3.591 3.591 2.337
Ag 1.024 4.616 2.337
Ag 2.567 1.024 2.337
Ag 4.616 6.159 2.337
Ag 6.159 2.567 2.337
```

- Crystal system: tetragonal
- N(E_F): 0.41 states/eV/atom
- V: 121 Å³/f.u.
- Energy relative to the lowest polymorph listed for this composition: 0 meV per atom
- Symmetry: No. 127

---

# 7
Tl2Ga7Ag: optimized geometry, PBE.

The structure in extended XYZ format:
```
10
Lattice="4.311 0.000 0.000 0.000 4.311 0.000 0.000 0.000 11.711" Properties=species:S:1:pos:R:3 pbc="T T T"
Tl 0.000 2.155 2.834
Tl 2.155 0.000 8.877
Ga 0.000 0.000 0.000
Ga 0.000 0.000 5.856
Ga 0.000 2.155 7.473
Ga 0.000 2.155 10.058
Ga 2.155 0.000 1.653
Ga 2.155 0.000 4.238
Ga 2.155 2.155 5.856
Ag 2.155 2.155 0.000
```

- Crystal system: tetragonal
- N(E_F): 0.46 states/eV/atom
- V: 218 Å³/f.u.
- Symmetry: No. 115

---

# 8
TlGa2Ag2: optimized geometry, PBE.

The structure in extended XYZ format:
```
10
Lattice="8.310 0.000 0.000 0.000 8.310 0.000 0.000 0.000 2.960" Properties=species:S:1:pos:R:3 pbc="T T T"
Tl 0.000 0.000 0.000
Tl 4.155 4.155 0.000
Ga 0.984 3.171 0.000
Ga 3.171 7.326 0.000
Ga 5.139 0.984 0.000
Ga 7.326 5.139 0.000
Ag 1.477 5.632 1.480
Ag 2.678 1.477 1.480
Ag 5.632 6.833 1.480
Ag 6.833 2.678 1.480
```

- Crystal system: tetragonal
- N(E_F): 0.32 states/eV/atom
- V: 102 Å³/f.u.
- Energy relative to the lowest polymorph listed for this composition: 0 meV per atom
- Symmetry: No. 127

---

Number 1: mass density 8481 kg/m³, M_tot 0.00 Bohr magnetons per cell, formation energy 0.38 eV per formula unit. Number 2: mass density 7760 kg/m³, M_tot 0.00 Bohr magnetons per cell, formation energy 0.38 eV per formula unit. Number 3: mass density 8755 kg/m³, M_tot 0.00 Bohr magnetons per cell, formation energy 1.58 eV per formula unit. Number 4: mass density 7932 kg/m³, M_tot 0.00 Bohr magnetons per cell, formation energy 1.42 eV per formula unit. Number 5: mass density 9280 kg/m³, M_tot 0.00 Bohr magnetons per cell, formation energy 0.97 eV per formula unit. Number 6: mass density 9562 kg/m³, M_tot 0.00 Bohr magnetons per cell, formation energy 0.63 eV per formula unit. Number 7: mass density 7667 kg/m³, M_tot 0.00 Bohr magnetons per cell, formation energy 0.23 eV per formula unit. Number 8: mass density 9091 kg/m³, M_tot 0.00 Bohr magnetons per cell, formation energy 0.27 eV per formula unit.